[1]
SrCeP2Rh4 | PBE | optimized geometry

It has space group P4/mmm (No. 123), with a = 4.052 Å, b = 4.052 Å, c = 9.712 Å, α = 90.00°, β = 90.00° and γ = 90.00°. The inequivalent atoms are Sr at (0.000, 0.000, 0.000), Ce at (0.000, 0.000, 0.500), P at (0.500, 0.500, 0.178) and Rh at (0.000, 0.500, 0.289).

Its raw total energy is -0.502 Ry per atom.

***

[2]
CoSe2Br | PBE | optimized geometry

It has space group Immm (No. 71), with a = 2.714 Å, b = 8.049 Å, c = 11.253 Å, α = 90.00°, β = 90.00° and γ = 90.00°. The inequivalent atoms are Co at (0.000, 0.000, 0.000), Se at (0.000, 0.500, 0.333) and Br at (0.000, 0.000, 0.500).

The uncorrected formation energy is 96 meV per atom.

***

[3]
ZnTe3Os | PBE | optimized geometry

It has space group Pm-3m (No. 221), with a = 5.285 Å, b = 5.285 Å, c = 5.285 Å, α = 90.00°, β = 90.00° and γ = 90.00°. The inequivalent atoms are Zn at (0.000, 0.000, 0.000), Te at (0.000, 0.500, 0.500) and Os at (0.500, 0.500, 0.500).

The uncorrected formation energy is 751 meV per atom.

***

[4]
Pm2SmYSe6 | PBE | optimized geometry

It has space group R3 (No. 146, hexagonal axes), with a = 7.3665 Å, b = 7.3665 Å, c = 19.6884 Å, α = 90.00°, β = 90.00° and γ = 120.00°. The inequivalent atoms are Pm at (0.0000, 0.0000, 0.0000), Pm at (0.0000, 0.0000, 0.4984), Sm at (0.0000, 0.0000, 0.2001), Y at (0.0000, 0.0000, 0.6980), Se at (0.0353, 0.3567, 0.7676) and Se at (0.0367, 0.6714, 0.2681).

The uncorrected formation energy is -1849 meV per atom.

***

[5]
CsTe2PtI | PBE | optimized geometry

It has space group P4/mmm (No. 123), with a = 5.446 Å, b = 5.446 Å, c = 5.881 Å, α = 90.00°, β = 90.00° and γ = 90.00°. The inequivalent atoms are Cs at (0.000, 0.000, 0.000), Te at (0.000, 0.500, 0.500), Pt at (0.500, 0.500, 0.500) and I at (0.500, 0.500, 0.000).

The uncorrected formation energy is -315 meV per atom.

***

[6]
BaSm2OsO8 | PBE | optimized geometry

It has space group Cmmm (No. 65), with a = 7.208 Å, b = 7.644 Å, c = 7.302 Å, α = 90.00°, β = 90.00° and γ = 90.00°. The inequivalent atoms are Ba at (0.000, 0.000, 0.000), Sm at (0.000, 0.500, 0.241), Os at (0.000, 0.000, 0.500), O at (0.000, 0.245, 0.500), O at (0.000, 0.329, 0.000) and O at (0.185, 0.000, 0.318).

The uncorrected formation energy is -2202 meV per atom.